The following is a PBE with a Hubbard U calculation of a geometry-optimized FeNiAs2O6 structure, from Alexandria via LeMat-Bulk.

SG = C2/c
total magnetic moment = 5.79 μB/f.u.
E_tot = -5.77 eV per atom

```
FeNiAs2O6
1.0
5.7290 -4.4199 0.0000
5.7290 4.4199 0.0000
-3.6272 0.0000 5.5752
Fe Ni As O
2 2 4 12
Direct
0.2492 0.7508 0.7500 Fe
0.7508 0.2492 0.2500 Fe
0.3229 0.6771 0.2500 Ni
0.6771 0.3229 0.7500 Ni
0.1509 0.2736 0.7039 As
0.2736 0.1509 0.2039 As
0.7264 0.8491 0.7961 As
0.8491 0.7264 0.2961 As
0.1111 0.2277 0.3761 O
0.1187 0.6694 0.3677 O
0.2277 0.1111 0.8761 O
0.2623 0.5092 0.8924 O
0.3306 0.8813 0.1323 O
0.4908 0.7377 0.6076 O
0.5092 0.2623 0.3924 O
0.6694 0.1187 0.8677 O
0.7377 0.4908 0.1076 O
0.7723 0.8889 0.1239 O
0.8813 0.3306 0.6323 O
0.8889 0.7723 0.6239 O
```



The following is a PBE with a Hubbard U calculation of a geometry-optimized Fe2NiAsO6 structure, from Alexandria via LeMat-Bulk.

SG = R3
total magnetic moment = 6.95 μB/f.u.
E_tot = -5.95 eV per atom

```
Fe2NiAsO6
1.0
2.5373 1.4649 4.5433
-2.5373 1.4649 4.5433
0.0000 -2.9298 4.5433
Fe Ni As O
2 1 1 6
Direct
0.0000 0.0000 0.0000 Fe
0.4871 0.4871 0.4871 Fe
0.2031 0.2031 0.2031 Ni
0.6893 0.6893 0.6893 As
0.0640 0.4324 0.7817 O
0.3128 0.8869 0.5996 O
0.4324 0.7817 0.0640 O
0.5996 0.3128 0.8869 O
0.7817 0.0640 0.4324 O
0.8869 0.5996 0.3128 O
```